# 1
First-principles (SCAN) data for a PBEsol-optimized structure of La2TcCl, as listed in Alexandria.

## Properties
- Offset from the most stable computed form: 15.6 meV per atom
- Formation energy from raw total energies: -0.89 eV per atom
- Size of the total moment: 0.000 Bohr magnetons per cell
- Space-group type: Pmm2, No. 25

Structure (CIF):
```
data_La2TcCl
_cell_length_a 3.748
_cell_length_b 4.575
_cell_length_c 5.771
_cell_angle_alpha 90.00
_cell_angle_beta 90.00
_cell_angle_gamma 90.00
_space_group_name_H-M_alt 'P 1'
_space_group_IT_number 1
_space_group_name_Hall 'P 1'
loop_
_atom_site_label
_atom_site_fract_x
_atom_site_fract_y
_atom_site_fract_z
La1 0.000 0.000 0.000
La2 0.500 0.500 0.454
Tc1 0.000 0.000 0.408
Cl1 0.500 0.500 0.952
```


# 2
First-principles (SCAN) data for a PBEsol-optimized structure of LiMoOF2, as listed in Alexandria.

## Properties
- Formation energy from raw total energies: -1.89 eV per atom
- Size of the total moment: 0.005 Bohr magnetons per cell
- Space-group type: P4/mmm, No. 123

Structure (CIF):
```
data_LiMoOF2
_cell_length_a 4.164
_cell_length_b 4.164
_cell_length_c 3.802
_cell_angle_alpha 90.00
_cell_angle_beta 90.00
_cell_angle_gamma 90.00
_space_group_name_H-M_alt 'P 1'
_space_group_IT_number 1
_space_group_name_Hall 'P 1'
loop_
_atom_site_label
_atom_site_fract_x
_atom_site_fract_y
_atom_site_fract_z
Li1 0.000 0.000 0.000
Mo1 0.500 0.500 0.500
O1 0.500 0.500 0.000
F1 0.000 0.500 0.500
F2 0.500 0.000 0.500
```


# 3
First-principles (SCAN) data for a PBEsol-optimized structure of LiY2Mg, as listed in Alexandria.

## Properties
- Size of the total moment: 1.776 Bohr magnetons per cell
- Energy of formation: 0.017 eV/atom
- Space-group type: P4mm, No. 99

Structure (CIF):
```
data_LiY2Mg
_cell_length_a 3.424
_cell_length_b 3.424
_cell_length_c 8.833
_cell_angle_alpha 90.00
_cell_angle_beta 90.00
_cell_angle_gamma 90.00
_space_group_name_H-M_alt 'P 1'
_space_group_IT_number 1
_space_group_name_Hall 'P 1'
loop_
_atom_site_label
_atom_site_fract_x
_atom_site_fract_y
_atom_site_fract_z
Li1 0.000 0.000 0.000
Y1 0.000 0.000 0.454
Y2 0.500 0.500 0.739
Mg1 0.500 0.500 0.188
```